(1)
PBE LiGdZn2, optimized geometry; calculated density = 6.3 g cm⁻³; formation energy from the elements = -0.84 eV/f.u.; magnetization = 7.69 μB per cell; excess energy over the best structure of this formula in the dataset = 25.1 meV/atom; SG = No. 123
1.0
3.361 0.000 0.000
0.000 3.361 0.000
0.000 0.000 6.886
Li Gd Zn
1 1 2
Direct
0.000 0.000 0.000
0.000 0.000 0.500
0.500 0.500 0.204
0.500 0.500 0.796

(2)
PBE LiGdZn4, optimized geometry; calculated density = 6.5 g cm⁻³; formation energy from the elements = -1.46 eV/f.u.; magnetization = 7.52 μB per cell; SG = No. 216
1.0
0.000 3.780 3.780
3.780 0.000 3.780
3.780 3.780 0.000
Li Gd Zn
1 1 4
Direct
0.000 0.000 0.000
0.750 0.750 0.750
0.375 0.375 0.375
0.375 0.375 0.876
0.375 0.876 0.375
0.876 0.375 0.375

no.,E_tot (eV/atom)
1,-4.85
2,-3.76